1.
{
  "formula": "CeTc12B6",
  "functional": "PBE-GGA",
  "state": "optimized geometry",
  "lattice_angstrom": [[5.149, 2.973, 2.715], [-5.149, 2.973, 2.715], [0.000, -5.946, 2.715]],
  "species": ["Ce", "Tc", "Tc", "Tc", "Tc", "Tc", "Tc", "Tc", "Tc", "Tc", "Tc", "Tc", "Tc", "B", "B", "B", "B", "B", "B"],
  "fractional_positions": [[0.000, 0.000, 0.000], [0.125, 0.500, 0.875], [0.125, 0.875, 0.500], [0.184, 0.458, 0.458], [0.458, 0.184, 0.458], [0.458, 0.458, 0.184], [0.500, 0.125, 0.875], [0.500, 0.875, 0.125], [0.542, 0.542, 0.816], [0.542, 0.816, 0.542], [0.816, 0.542, 0.542], [0.875, 0.125, 0.500], [0.875, 0.500, 0.125], [0.239, 0.239, 0.696], [0.239, 0.696, 0.239], [0.304, 0.761, 0.761], [0.696, 0.239, 0.239], [0.761, 0.304, 0.761], [0.761, 0.761, 0.304]],
  "final_energy_ev_per_atom": -9.171
}

---

2.
{
  "formula": "Nd2Si2Pb",
  "functional": "PBE-GGA",
  "state": "optimized geometry",
  "lattice_angstrom": [[1.950, -7.488, 0.000], [1.950, 7.488, 0.000], [0.000, 0.000, 4.281]],
  "species": ["Nd", "Nd", "Si", "Si", "Pb"],
  "fractional_positions": [[0.138, 0.862, 0.000], [0.862, 0.138, 0.000], [0.296, 0.704, 0.500], [0.704, 0.296, 0.500], [0.500, 0.500, 0.500]],
  "e_form_raw_mev_per_atom": -652
}

---

3.
{
  "formula": "Tb3Pm4Sm5",
  "functional": "PBE-GGA",
  "state": "optimized geometry",
  "lattice_angstrom": [[6.268, 0.000, 0.000], [-0.016, 7.233, 0.000], [-0.017, -0.005, 8.864]],
  "species": ["Tb", "Tb", "Tb", "Pm", "Pm", "Pm", "Pm", "Sm", "Sm", "Sm", "Sm", "Sm"],
  "fractional_positions": [[0.000, 0.000, 0.000], [0.167, 0.751, 0.667], [0.833, 0.249, 0.333], [0.166, 0.249, 0.667], [0.334, 0.500, 0.333], [0.666, 0.500, 0.667], [0.834, 0.751, 0.333], [0.000, 0.500, 0.000], [0.333, 0.000, 0.333], [0.499, 0.751, 0.000], [0.501, 0.249, 0.000], [0.667, 0.000, 0.667]],
  "relative_energy_ev_per_atom": 0.000
}

---

4.
{
  "formula": "Ti2GaTeW",
  "functional": "PBE-GGA",
  "state": "optimized geometry",
  "lattice_angstrom": [[4.654, 0.000, 0.000], [0.000, 4.654, 0.000], [0.000, 0.000, 5.097]],
  "species": ["Ti", "Ti", "Ga", "Te", "W"],
  "fractional_positions": [[0.000, 0.500, 0.000], [0.500, 0.000, 0.000], [0.000, 0.000, 0.000], [0.000, 0.000, 0.500], [0.500, 0.500, 0.500]],
  "e_form_raw_mev_per_atom": 1384
}

---

What did the second record say?
{
  "formula": "Nd2Si2Pb",
  "functional": "PBE-GGA",
  "state": "optimized geometry",
  "lattice_angstrom": [[1.950, -7.488, 0.000], [1.950, 7.488, 0.000], [0.000, 0.000, 4.281]],
  "species": ["Nd", "Nd", "Si", "Si", "Pb"],
  "fractional_positions": [[0.138, 0.862, 0.000], [0.862, 0.138, 0.000], [0.296, 0.704, 0.500], [0.704, 0.296, 0.500], [0.500, 0.500, 0.500]],
  "e_form_raw_mev_per_atom": -652
}

---

> Which formula does entry 1 have?

CeTc12B6